# PBE-GGA CaZnAu, relaxed
data_CaZnAu
_chemical_formula_sum 'Ca4 Zn4 Au4'
_symmetry_space_group_name_H-M 'F -4 3 m'
_symmetry_Int_Tables_number 216
_symmetry_space_group_name_Hall 'F -4 2 3'
_cell_length_a 6.698
_cell_length_b 6.698
_cell_length_c 6.698
_cell_angle_alpha 90.00
_cell_angle_beta 90.00
_cell_angle_gamma 90.00
loop_
_atom_site_label
_atom_site_fract_x
_atom_site_fract_y
_atom_site_fract_z
Ca1 0.000 0.000 0.000
Zn1 0.000 0.000 0.500
Au1 0.250 0.250 0.250
# formation enthalpy at 0 K: -42.9 kJ per mole of atoms
# total energy: -2.629 eV per atom


# PBE-GGA Sm2EuSc, relaxed
data_Sm2EuSc
_chemical_formula_sum 'Sm2 Eu1 Sc1'
_symmetry_space_group_name_H-M 'P 4/m m m'
_symmetry_Int_Tables_number 123
_symmetry_space_group_name_Hall '-P 4 2'
_cell_length_a 3.633
_cell_length_b 3.633
_cell_length_c 9.907
_cell_angle_alpha 90.00
_cell_angle_beta 90.00
_cell_angle_gamma 90.00
loop_
_atom_site_label
_atom_site_fract_x
_atom_site_fract_y
_atom_site_fract_z
Sm1 0.000 0.000 0.222
Eu1 0.500 0.500 0.500
Sc1 0.500 0.500 0.000
# distance to the lowest polymorph of the same formula: 0.00 eV/f.u.
# formation enthalpy at 0 K: 6.2 kJ per mole of atoms
# total energy: -6.447 eV per atom


# PBE-GGA BeTlCd2, relaxed
data_BeTlCd2
_chemical_formula_sum 'Be1 Tl1 Cd2'
_symmetry_space_group_name_H-M 'P m m 2'
_symmetry_Int_Tables_number 25
_cell_length_a 3.087
_cell_length_b 3.290
_cell_length_c 8.345
_cell_angle_alpha 90.00
_cell_angle_beta 90.00
_cell_angle_gamma 90.00
loop_
_symmetry_equiv_pos_as_xyz
'x,y,z'
'-x,-y,z'
'-x,y,z'
'x,-y,z'
loop_
_atom_site_label
_atom_site_fract_x
_atom_site_fract_y
_atom_site_fract_z
Be1 0.000 0.000 0.000
Tl1 0.500 0.500 0.757
Cd1 0.000 0.000 0.439
Cd2 0.500 0.500 0.166
# distance to the lowest polymorph of the same formula: 0.28 eV/f.u.
# formation enthalpy at 0 K: 34.5 kJ per mole of atoms
# total energy: -1.623 eV per atom


# PBE-GGA ZrFe2Re, relaxed
data_ZrFe2Re
_chemical_formula_sum 'Zr4 Fe8 Re4'
_symmetry_space_group_name_H-M 'F m -3 m'
_symmetry_Int_Tables_number 225
_symmetry_space_group_name_Hall '-F 4 2 3'
_cell_length_a 6.154
_cell_length_b 6.154
_cell_length_c 6.154
_cell_angle_alpha 90.00
_cell_angle_beta 90.00
_cell_angle_gamma 90.00
loop_
_atom_site_label
_atom_site_fract_x
_atom_site_fract_y
_atom_site_fract_z
Zr1 0.000 0.000 0.000
Fe1 0.250 0.250 0.250
Re1 0.000 0.000 0.500
# formation enthalpy at 0 K: 4.0 kJ per mole of atoms
# total energy: -9.439 eV per atom


# PBE-GGA ErCdHgPd, relaxed
data_ErCdHgPd
_chemical_formula_sum 'Er4 Cd4 Hg4 Pd4'
_symmetry_space_group_name_H-M 'F -4 3 m'
_symmetry_Int_Tables_number 216
_symmetry_space_group_name_Hall 'F -4 2 3'
_cell_length_a 6.954
_cell_length_b 6.954
_cell_length_c 6.954
_cell_angle_alpha 90.00
_cell_angle_beta 90.00
_cell_angle_gamma 90.00
loop_
_atom_site_label
_atom_site_fract_x
_atom_site_fract_y
_atom_site_fract_z
Er1 0.000 0.000 0.000
Cd1 0.000 0.000 0.500
Hg1 0.250 0.250 0.750
Pd1 0.250 0.250 0.250
# formation enthalpy at 0 K: -49.0 kJ per mole of atoms
# total energy: -3.250 eV per atom


# PBE-GGA CuNi5H11, relaxed
data_CuNi5H11
_chemical_formula_sum 'Cu2 Ni10 H22'
_symmetry_space_group_name_H-M 'C 1 2/m 1'
_symmetry_Int_Tables_number 12
_cell_length_a 4.846
_cell_length_b 8.893
_cell_length_c 5.528
_cell_angle_alpha 90.00
_cell_angle_beta 99.87
_cell_angle_gamma 90.00
loop_
_symmetry_equiv_pos_as_xyz
'x,y,z'
'-x,-y,-z'
'-x,y,-z'
'x,-y,z'
'x+1/2,y+1/2,z'
'-x+1/2,-y+1/2,-z'
'-x+1/2,y+1/2,-z'
'x+1/2,-y+1/2,z'
loop_
_atom_site_label
_atom_site_fract_x
_atom_site_fract_y
_atom_site_fract_z
Cu1 0.000 0.000 0.000
Ni1 0.000 0.500 0.000
Ni2 0.217 0.145 0.653
H1 0.000 0.000 0.500
H2 0.041 0.500 0.304
H3 0.121 0.191 0.351
H4 0.233 0.367 0.039
# total energy: -4.035 eV per atom


Question: What is the total energy in the fifth record?
Answer: -3.250 eV per atom